Entry 1:
# YP3Ru5 PBE optimized geometry
# N(E_F)	23.72	states/eV per cell
# theoretical density	8.1	g/cm3
# formation enthalpy at 0 K	-483	kJ/mol of formula units
# total moment	0.00	Bohr magnetons per cell
# calculated total energy	-8.231	eV per atom
data_YP3Ru5
_cell_length_a 3.8711
_cell_length_b 12.1713
_cell_length_c 11.9875
_cell_angle_alpha 90.00
_cell_angle_beta 90.00
_cell_angle_gamma 90.00
_symmetry_space_group_name_H-M 'C m c m'
_symmetry_Int_Tables_number 63
_symmetry_space_group_name_Hall '-C 2c 2'
loop_
_atom_site_label
_atom_site_fract_x
_atom_site_fract_y
_atom_site_fract_z
Y1 0.0000 0.1631 0.2500
P1 0.0000 0.1316 0.7500
P2 0.0000 0.3868 0.5467
Ru1 0.0000 0.0000 0.0000
Ru2 0.0000 0.2064 0.5753
Ru3 0.0000 0.4439 0.1475

---

Entry 2:
# Y4PRu PBE optimized geometry
# N(E_F)	34.43	states/eV per cell
# theoretical density	5.4	g/cm3
# formation enthalpy at 0 K	437	kJ/mol of formula units
# total moment	4.04	Bohr magnetons per cell
# calculated total energy	-6.002	eV per atom
data_Y4PRu
_cell_length_a 8.4146
_cell_length_b 8.4146
_cell_length_c 8.4146
_cell_angle_alpha 90.00
_cell_angle_beta 90.00
_cell_angle_gamma 90.00
_symmetry_space_group_name_H-M 'F -4 3 m'
_symmetry_Int_Tables_number 216
_symmetry_space_group_name_Hall 'F -4 2 3'
loop_
_atom_site_label
_atom_site_fract_x
_atom_site_fract_y
_atom_site_fract_z
Y1 0.1241 0.1241 0.3759
P1 0.0000 0.0000 0.0000
Ru1 0.2500 0.2500 0.7500

---

Entry 3:
# YP2Ru PBE optimized geometry
# N(E_F)	5.90	states/eV per cell
# theoretical density	6.2	g/cm3
# formation enthalpy at 0 K	-19	kJ/mol of formula units
# total moment	0.00	Bohr magnetons per cell
# relative energy among the computed polymorphs	0.859	eV/atom
# calculated total energy	-6.690	eV per atom
data_YP2Ru
_cell_length_a 6.4711
_cell_length_b 6.4711
_cell_length_c 6.4711
_cell_angle_alpha 90.00
_cell_angle_beta 90.00
_cell_angle_gamma 90.00
_symmetry_space_group_name_H-M 'F -4 3 m'
_symmetry_Int_Tables_number 216
_symmetry_space_group_name_Hall 'F -4 2 3'
loop_
_atom_site_label
_atom_site_fract_x
_atom_site_fract_y
_atom_site_fract_z
Y1 0.0000 0.0000 0.0000
P1 0.0000 0.0000 0.5000
P2 0.2500 0.2500 0.2500
Ru1 0.2500 0.2500 0.7500

---

Which of these has the highest N(E_F)? Y4PRu

---

N(E_F) of number 3 (YP2Ru)? 5.90 states/eV per cell